Ga3CuAu | GGA-PBEsol | relaxed

Cell lengths 4.5516, 4.5516, 4.5516 Å; angles 90.00, 90.00, 90.00 degrees
Positions (direct):
Au  0.5000  0.5000  0.5000
Cu  0.0000  0.0000  0.0000
Ga  0.0000  0.5000  0.0000
Ga  0.0000  0.0000  0.5000
Ga  0.5000  0.0000  0.0000

Properties
The value obtained for the calculated volume is 18.86 Å³ per atom. Its total energy is -3.448 eV/atom. Its crystal system is cubic.

***

Tl2SnCl6 | GGA-PBEsol | relaxed

Cell lengths 6.9472, 6.9472, 6.9472 Å; angles 60.00, 60.00, 60.00 degrees
Positions (direct):
Tl  0.2500  0.2500  0.2500
Tl  0.7500  0.7500  0.7500
Sn  0.0000  0.0000  0.0000
Cl  0.2481  0.7519  0.2481
Cl  0.7519  0.7519  0.2481
Cl  0.2481  0.2481  0.7519
Cl  0.7519  0.2481  0.7519
Cl  0.2481  0.7519  0.7519
Cl  0.7519  0.2481  0.2481

Properties
The value obtained for the calculated volume is 26.34 Å³ per atom. Its total energy is -3.385 eV/atom. The formation energy without anion corrections is -0.988 eV/atom. Its crystal system is cubic.

***

TaTe2NF | GGA-PBEsol | relaxed

Cell lengths 3.8512, 5.3816, 5.3816 Å; angles 90.00, 90.00, 90.00 degrees
Positions (direct):
N  0.5000  0.0000  0.0000
F  0.5000  0.5000  0.5000
Te  0.0000  0.0000  0.5000
Te  0.0000  0.5000  0.0000
Ta  0.0000  0.0000  0.0000

Properties
The value obtained for the calculated volume is 22.31 Å³ per atom. Its total energy is -6.043 eV/atom. The formation energy without anion corrections is -0.032 eV/atom. Its crystal system is tetragonal. The energy above the most stable polymorph in this dataset is 0.00 eV per formula unit.

***

Sc2AlCu | GGA-PBEsol | relaxed

Cell lengths 3.0706, 4.0640, 5.8251 Å; angles 90.00, 90.00, 90.00 degrees
Positions (direct):
Sc  0.0000  0.0000  0.9766
Sc  0.5000  0.5000  0.2788
Al  0.0000  0.0000  0.4970
Cu  0.5000  0.5000  0.7476

Properties
The value obtained for the calculated volume is 18.17 Å³ per atom. Its total energy is -5.499 eV/atom. Its crystal system is orthorhombic.

***

Cu10Sn3 | GGA-PBEsol | relaxed

Cell lengths 7.2218, 7.2218, 7.8278 Å; angles 90.00, 90.00, 120.00 degrees
Positions (direct):
Cu  0.0000  0.0000  0.0000
Cu  0.0000  0.0000  0.5000
Cu  0.3333  0.6667  0.4218
Cu  0.6667  0.3333  0.9218
Cu  0.3333  0.6667  0.0782
Cu  0.6667  0.3333  0.5782
Cu  0.3333  0.6667  0.7500
Cu  0.6667  0.3333  0.2500
Cu  0.0287  0.6702  0.9166
Cu  0.6415  0.9713  0.9166
Cu  0.3298  0.3585  0.9166
Cu  0.9713  0.3298  0.4166
Cu  0.3585  0.0287  0.4166
Cu  0.6702  0.6415  0.4166
Cu  0.9713  0.3298  0.0834
Cu  0.3585  0.0287  0.0834
Cu  0.6702  0.6415  0.0834
Cu  0.0287  0.6702  0.5834
Cu  0.6415  0.9713  0.5834
Cu  0.3298  0.3585  0.5834
Sn  0.0234  0.7088  0.2500
Sn  0.6854  0.9766  0.2500
Sn  0.2912  0.3146  0.2500
Sn  0.9766  0.2912  0.7500
Sn  0.3146  0.0234  0.7500
Sn  0.7088  0.6854  0.7500

Properties
The value obtained for the calculated volume is 13.60 Å³ per atom. Its total energy is -4.324 eV/atom. Its crystal system is hexagonal.

***

CaTlP | GGA-PBEsol | relaxed

Cell lengths 3.9983, 3.9983, 6.5822 Å; angles 107.68, 107.68, 90.00 degrees
Positions (direct):
Ca  0.9155  0.9155  0.8310
P  0.4347  0.4347  0.8694
Tl  0.6498  0.6498  0.2996

Properties
The value obtained for the calculated volume is 31.68 Å³ per atom. Its total energy is -3.856 eV/atom. Its crystal system is tetragonal.